This record from the Alexandria database describes crystalline Li2Y3HoS6 at its relaxed geometry. The functional is GGA-PBE.

a = 6.707 Å, b = 6.707 Å, c = 6.699 Å
α = 99.60°, β = 99.60°, γ = 119.99°
Fractional positions:
Li1 0.167 0.833 0.000
Li2 0.833 0.167 0.000
Y1 0.000 0.000 0.500
Y2 0.332 0.668 0.500
Y3 0.668 0.332 0.500
Ho1 0.500 0.500 0.000
S1 0.083 0.419 0.758
S2 0.245 0.245 0.244
S3 0.419 0.083 0.758
S4 0.581 0.917 0.242
S5 0.755 0.755 0.756
S6 0.917 0.581 0.242

Its formation energy without anion corrections is -1912 meV per atom. The space group is C2/m, No. 12. Its energy is -6.29 eV per atom.